No. 1
Compound: La3Re
Source: Alexandria via LeMat-Bulk
Functional: PBE
Structure: relaxed

Unit cell a=3.5757 b=4.6846 c=6.7875 alpha=90.00 beta=76.18 gamma=90.00
Atoms (fractional coordinates):
La 0.2500 0.5000 0.2500
La 0.9602 0.0000 0.9624
La 0.5398 0.0000 0.5376
Re 0.7500 0.5000 0.7500

Calculated values
magnetization: 0.0 μB/f.u.
DFT formation energy: 0.37 eV/atom

No. 2
Compound: La4Re
Source: Alexandria via LeMat-Bulk
Functional: PBE
Structure: relaxed

Unit cell a=8.3401 b=8.3401 c=3.7075 alpha=85.70 beta=85.70 gamma=35.09
Atoms (fractional coordinates):
La 0.6740 0.6740 0.1678
La 0.3260 0.3260 0.8322
La 0.0870 0.0870 0.6522
La 0.9130 0.9130 0.3478
Re 0.5000 0.5000 0.0000

Calculated values
offset from the most stable computed form: 133 meV per atom
magnetization: 0.0 μB/f.u.
DFT formation energy: 0.26 eV/atom